The following is a DFT calculation (GGA-PBEsol) of an optimized crystal structure of CuAg3.

Values from the calculation:
- DFT formation energy (eV per formula unit) = 0.23

Cell lengths 2.802, 2.802, 7.806 Å; angles 90.00, 90.00, 90.00 degrees
Element x y z (fractional)
Cu: 0.500 0.500 0.500
Ag: 0.000 0.000 0.731
Ag: 0.000 0.000 0.269
Ag: 0.500 0.500 0.000

The following is a DFT calculation (GGA-PBEsol) of an optimized crystal structure of LiAuSe2.

Values from the calculation:
- formation energy (no corrections) (eV/atom) = -0.376

Cell lengths 2.799, 5.231, 5.232 Å; angles 90.00, 89.98, 90.00 degrees
Element x y z (fractional)
Au: 0.878 0.000 0.375
Li: 0.370 0.500 0.876
Se: 0.875 0.000 0.875
Se: 0.877 0.500 0.375

The following is a DFT calculation (GGA-PBEsol) of an optimized crystal structure of GdPd3.

Values from the calculation:
- DFT formation energy (eV per formula unit) = -3.38

Cell lengths 4.067, 4.067, 4.067 Å; angles 90.00, 90.00, 90.00 degrees
Last column: magnetic moment on the atom in μB.
Element x y z (fractional)
Gd: 0.000 0.000 0.000  -6.92
Pd: 0.000 0.500 0.500  -0.01
Pd: 0.500 0.500 0.000  -0.01
Pd: 0.500 0.000 0.500  -0.01

The following is a DFT calculation (GGA-PBEsol) of an optimized crystal structure of Lu2AlSi2.

Values from the calculation:
- formation energy (no corrections) (eV/atom) = -0.746

Cell lengths 4.006, 5.410, 5.410 Å; angles 61.79, 68.27, 68.27 degrees
Element x y z (fractional)
Si: 0.500 0.288 0.712
Si: 0.500 0.712 0.288
Lu: 0.790 0.710 0.710
Lu: 0.210 0.290 0.290
Al: 0.000 0.000 0.000

The following is a DFT calculation (GGA-PBEsol) of an optimized crystal structure of Zr3Al.

Values from the calculation:
- DFT formation energy (eV per formula unit) = -0.75

Cell lengths 3.100, 3.100, 8.594 Å; angles 90.00, 90.00, 90.00 degrees
Element x y z (fractional)
Al: 0.000 0.000 0.000
Zr: 0.500 0.500 0.767
Zr: 0.000 0.000 0.500
Zr: 0.500 0.500 0.233

The following is a DFT calculation (GGA-PBEsol) of an optimized crystal structure of ReIr3.

Values from the calculation:
- ΔE to the lowest computed polymorph (kJ/mol of formula units) = 17
- DFT formation energy (eV per formula unit) = -0.39

Cell lengths 2.707, 2.707, 7.718 Å; angles 90.00, 90.00, 90.00 degrees
Element x y z (fractional)
Re: 0.500 0.500 0.000
Ir: 0.000 0.000 0.753
Ir: 0.000 0.000 0.247
Ir: 0.500 0.500 0.500

The following is a DFT calculation (GGA-PBEsol) of an optimized crystal structure of CsCaZn2W.

Values from the calculation:
- DFT formation energy (eV per formula unit) = 10.30

Cell lengths 5.427, 5.427, 6.197 Å; angles 90.00, 90.00, 90.00 degrees
Last column: magnetic moment on the atom in μB.
Element x y z (fractional)
Cs: 0.000 0.000 0.500  0.03
Zn: 0.000 0.500 0.000  0.00
Zn: 0.500 0.000 0.000  0.00
Ca: 0.000 0.000 0.000  -0.04
W: 0.500 0.500 0.500  3.36

The following is a DFT calculation (GGA-PBEsol) of an optimized crystal structure of Be2AsAu.

Values from the calculation:
- DFT formation energy (eV per formula unit) = 0.59

Cell lengths 2.845, 3.375, 6.188 Å; angles 105.82, 103.29, 90.00 degrees
Element x y z (fractional)
Be: 0.961 0.961 0.921
Be: 0.701 0.201 0.401
As: 0.545 0.545 0.090
Au: 0.294 0.794 0.588

The following is a DFT calculation (GGA-PBEsol) of an optimized crystal structure of AlRh2.

Values from the calculation:
- DFT formation energy (eV per formula unit) = -0.18

Cell lengths 5.020, 5.020, 5.020 Å; angles 60.00, 60.00, 60.00 degrees
Element x y z (fractional)
Al: 0.500 0.500 0.500
Al: 0.750 0.750 0.750
Rh: 0.125 0.125 0.125
Rh: 0.125 0.125 0.625
Rh: 0.125 0.625 0.125
Rh: 0.625 0.125 0.125

The following is a DFT calculation (GGA-PBEsol) of an optimized crystal structure of Li2MgAs.

Values from the calculation:
- ΔE to the lowest computed polymorph (kJ/mol of formula units) = 69
- DFT formation energy (eV per formula unit) = -1.25

Cell lengths 3.176, 4.634, 5.091 Å; angles 98.41, 90.00, 110.04 degrees
Element x y z (fractional)
As: 0.000 0.000 0.500
Mg: 0.500 0.000 0.000
Li: 0.736 0.473 0.706
Li: 0.264 0.527 0.294

The following is a DFT calculation (GGA-PBEsol) of an optimized crystal structure of BaReCl2.

Values from the calculation:
- ΔE to the lowest computed polymorph (kJ/mol of formula units) = 9
- formation energy (no corrections) (eV/atom) = 0.166

Cell lengths 4.093, 4.093, 6.290 Å; angles 90.00, 90.00, 90.00 degrees
Last column: magnetic moment on the atom in μB.
Element x y z (fractional)
Re: 0.000 0.000 0.426  3.67
Ba: 0.500 0.500 0.784  0.04
Cl: 0.000 0.000 0.998  0.08
Cl: 0.500 0.500 0.291  0.17

The following is a DFT calculation (GGA-PBEsol) of an optimized crystal structure of SrHgPb2.

Values from the calculation:
- DFT formation energy (eV per formula unit) = -1.47

Cell lengths 4.844, 4.829, 4.829 Å; angles 90.00, 90.00, 90.00 degrees
Element x y z (fractional)
Pb: 0.000 0.000 0.500
Pb: 0.000 0.500 0.000
Sr: 0.500 0.500 0.500
Hg: 0.500 0.000 0.000

Number 1: calculated total energy -14.04 eV for the cell shown. Number 2: calculated total energy -15.10 eV for the cell shown. Number 3: calculated total energy -35.71 eV for the cell shown. Number 4: calculated total energy -29.06 eV for the cell shown. Number 5: calculated total energy -32.12 eV for the cell shown. Number 6: calculated total energy -43.19 eV for the cell shown. Number 7: calculated total energy -9.75 eV for the cell shown. Number 8: calculated total energy -16.44 eV for the cell shown. Number 9: calculated total energy -41.10 eV for the cell shown. Number 10: calculated total energy -12.00 eV for the cell shown. Number 11: calculated total energy -18.83 eV for the cell shown. Number 12: calculated total energy -11.88 eV for the cell shown.